Below is a relaxed Mg2ScMo crystal, with properties calculated at the PBE-GGA level.

Unit cell a=5.266 b=5.266 c=5.266 alpha=132.74 beta=132.74 gamma=69.06
Positions (direct):
Mo 0.500 0.500 0.000
Sc 0.750 0.250 0.500
Mg 0.000 0.000 0.000
Mg 0.250 0.750 0.500

Distance to the lowest polymorph of the same formula in eV per atom: 0.1305
Theoretical density in g/cm³: 4.07
Crystal system: tetragonal
DFT formation energy in eV per atom: 0.265